Record 1
Density functional theory data (PBE) for crystalline Nd5Y12Tm at its relaxed geometry.

POSCAR file:
```
Nd5Y12Tm
1.0
-3.4219 -9.4427 11.4765
-4.4877 -9.7816 0.7393
4.6011 -2.1403 -0.3893
Nd Y Tm
5 12 1
Direct
0.5000 0.0000 0.5000
0.1650 0.6699 0.5000
0.8350 0.3301 0.5000
0.6671 0.6658 0.0000
0.3329 0.3342 0.0000
0.8337 0.0000 0.5001
0.1663 0.0000 0.4999
0.6676 0.0001 0.0001
0.3324 0.9999 0.9999
0.3321 0.6689 0.0000
0.9990 0.6688 0.0000
0.0010 0.3312 0.0000
0.6679 0.3311 0.0000
0.5006 0.3344 0.5000
0.8350 0.6657 0.5000
0.1650 0.3343 0.5000
0.4994 0.6656 0.5000
0.0000 0.0000 0.0000
```

Results
Its space group is Cmmm (65). The calculation puts the formation energy at 0.022 eV per atom.

=====

Record 2
Density functional theory data (PBE) for crystalline AcTbSbS at its relaxed geometry.

POSCAR file:
```
AcTbSbS
1.0
-1.6497 4.6624 -0.9148
-1.2842 -1.3699 -4.6659
-9.3455 -2.6494 3.3500
Ac Tb Sb S
2 2 2 2
Direct
0.0000 0.5000 0.8554
0.5000 0.0000 0.1446
0.0000 0.0000 0.5000
0.5000 0.5000 0.5000
0.5000 0.0000 0.6761
0.0000 0.5000 0.3239
0.5000 0.5000 0.0000
0.0000 0.0000 0.0000
```

Results
Its space group is P4/nmm (129). For the uncorrected formation energy, the calculation gives -1335 meV per atom.

=====

Record 3
Density functional theory data (PBE) for crystalline FeHg2Cl at its relaxed geometry.

POSCAR file:
```
FeHg2Cl
1.0
6.2246 0.0048 0.0000
3.6196 5.0640 0.0000
-4.9221 -2.5344 2.8452
Cl Hg Fe
1 2 1
Direct
0.2500 0.7500 0.5000
0.0000 0.0000 0.0000
0.5000 0.5000 0.0000
0.7500 0.2500 0.5000
```

Results
Its space group is I4/mmm (139). For the uncorrected formation energy, the calculation gives 402 meV per atom.

=====

| no. | E_tot (eV/atom) | M_tot (Bohr magnetons per cell) | V (Å³/f.u.) |
| --- | --- | --- | --- |
| 1 | -5.8605 | 0.00 | 593 |
| 2 | -5.5820 | 0.00 | 130 |
| 3 | -2.3261 | 3.28 | 90 |